# 1
Crystalline Be2AlMo at its relaxed geometry. Source: the Alexandria database, functional PBE.

extended XYZ file:
```
4
Lattice="1.366 0.789 8.052 -1.366 0.789 8.052 0.000 -1.577 8.052" Properties=species:S:1:pos:R:3 pbc="T T T"
Be 0.000 0.000 6.026
Be 0.000 0.000 18.129
Al 0.000 0.000 12.078
Mo 0.000 0.000 0.000
```

N(E_F) = 0.3818 states/eV/atom
Energy relative to the elements = 107 kJ/mol of formula units

***

# 2
Crystalline Be2AlMo at its relaxed geometry. Source: the Alexandria database, functional PBE.

extended XYZ file:
```
4
Lattice="2.956 0.000 0.000 0.000 2.956 0.000 0.000 0.000 5.508" Properties=species:S:1:pos:R:3 pbc="T T T"
Be 0.000 0.000 1.374
Be 0.000 0.000 4.134
Al 1.478 1.478 0.000
Mo 1.478 1.478 2.754
```

N(E_F) = 0.5763 states/eV/atom
Energy relative to the elements = 50 kJ/mol of formula units

***

# 3
Crystalline Be4AlMo at its relaxed geometry. Source: the Alexandria database, functional PBE.

extended XYZ file:
```
6
Lattice="0.000 3.137 3.137 3.137 0.000 3.137 3.137 3.137 0.000" Properties=species:S:1:pos:R:3 pbc="T T T"
Be 0.763 0.763 0.763
Be 2.373 2.373 0.763
Be 2.373 0.763 2.373
Be 0.763 2.373 2.373
Al 3.137 3.137 3.137
Mo 4.705 4.705 4.705
```

N(E_F) = 0.4225 states/eV/atom
Energy relative to the elements = -48 kJ/mol of formula units

***

# 4
Crystalline BeAlMo2 at its relaxed geometry. Source: the Alexandria database, functional PBE.

extended XYZ file:
```
4
Lattice="2.652 -4.082 0.000 2.652 4.082 0.000 -0.572 0.000 2.610" Properties=species:S:1:pos:R:3 pbc="T T T"
Be 0.000 0.000 0.000
Al 2.652 0.000 0.000
Mo 1.040 2.041 1.305
Mo 1.040 -2.041 1.305
```

N(E_F) = 0.6654 states/eV/atom
Distance to the lowest polymorph of the same formula = 0.082 eV/atom
Energy relative to the elements = 6 kJ/mol of formula units

***

# 5
Crystalline BeAlMo2 at its relaxed geometry. Source: the Alexandria database, functional PBE.

extended XYZ file:
```
4
Lattice="2.778 0.000 0.000 0.000 2.778 0.000 0.000 0.000 7.160" Properties=species:S:1:pos:R:3 pbc="T T T"
Be 0.000 0.000 0.000
Al 1.389 1.389 5.682
Mo 0.000 0.000 3.781
Mo 1.389 1.389 1.546
```

N(E_F) = 1.0980 states/eV/atom
Distance to the lowest polymorph of the same formula = 0.189 eV/atom
Energy relative to the elements = 48 kJ/mol of formula units

***

# 6
Crystalline BeAl2Mo2 at its relaxed geometry. Source: the Alexandria database, functional PBE.

extended XYZ file:
```
5
Lattice="-1.809 1.809 6.560 1.809 -1.809 6.560 1.809 1.809 -6.560" Properties=species:S:1:pos:R:3 pbc="T T T"
Be 0.000 0.000 0.000
Al 0.000 0.000 5.319
Al 0.000 0.000 7.801
Mo 1.809 0.000 3.280
Mo 0.000 1.809 3.280
```

N(E_F) = 0.6930 states/eV/atom
Distance to the lowest polymorph of the same formula = 0.546 eV/atom
Energy relative to the elements = 300 kJ/mol of formula units

***

# 7
Crystalline BeAl6Mo2 at its relaxed geometry. Source: the Alexandria database, functional PBE.

extended XYZ file:
```
9
Lattice="6.241 -1.806 0.000 6.241 1.806 0.000 -2.334 0.000 5.878" Properties=species:S:1:pos:R:3 pbc="T T T"
Be 0.000 0.000 0.000
Al -0.252 0.000 3.828
Al 1.958 0.000 2.010
Al 4.157 0.000 0.002
Al 5.991 0.000 5.876
Al 8.189 0.000 3.868
Al 10.400 0.000 2.050
Mo 3.923 0.000 4.170
Mo 6.224 0.000 1.708
```

N(E_F) = 0.4022 states/eV/atom
Energy relative to the elements = -160 kJ/mol of formula units

***

# 8
Crystalline BeAlMo2 at its relaxed geometry. Source: the Alexandria database, functional PBE.

extended XYZ file:
```
4
Lattice="1.678 -2.099 0.000 1.678 2.099 0.000 0.000 0.000 7.893" Properties=species:S:1:pos:R:3 pbc="T T T"
Be 0.000 0.000 0.000
Al 0.000 0.000 3.946
Mo 1.678 0.000 1.826
Mo 1.678 0.000 6.067
```

N(E_F) = 0.5490 states/eV/atom
Distance to the lowest polymorph of the same formula = 0.053 eV/atom
Energy relative to the elements = -5 kJ/mol of formula units

***

# 9
Crystalline BeAlMo2 at its relaxed geometry. Source: the Alexandria database, functional PBE.

extended XYZ file:
```
4
Lattice="2.743 0.000 0.000 0.000 4.254 0.000 -0.659 0.000 4.828" Properties=species:S:1:pos:R:3 pbc="T T T"
Be 0.000 0.000 0.000
Al -0.451 2.127 3.529
Mo 0.829 0.000 2.388
Mo 1.504 2.127 1.025
```

N(E_F) = 0.2966 states/eV/atom
Distance to the lowest polymorph of the same formula = 0.000 eV/atom
Energy relative to the elements = -25 kJ/mol of formula units

***

# 10
Crystalline BeAlMo2 at its relaxed geometry. Source: the Alexandria database, functional PBE.

extended XYZ file:
```
4
Lattice="3.136 0.000 0.000 0.000 3.136 0.000 0.000 0.000 5.705" Properties=species:S:1:pos:R:3 pbc="T T T"
Be 0.000 0.000 0.000
Al 0.000 0.000 2.852
Mo 1.568 1.568 1.183
Mo 1.568 1.568 4.522
```

N(E_F) = 0.6106 states/eV/atom
Distance to the lowest polymorph of the same formula = 0.083 eV/atom
Energy relative to the elements = 7 kJ/mol of formula units

***

# 11
Crystalline Be2AlMo at its relaxed geometry. Source: the Alexandria database, functional PBE.

extended XYZ file:
```
4
Lattice="4.306 -1.358 0.000 4.306 1.358 0.000 -1.120 0.000 4.398" Properties=species:S:1:pos:R:3 pbc="T T T"
Be 1.906 0.000 0.915
Be 5.585 0.000 3.483
Al -0.560 0.000 2.199
Mo 4.306 0.000 0.000
```

N(E_F) = 0.3027 states/eV/atom
Energy relative to the elements = 45 kJ/mol of formula units

***

# 12
Crystalline BeAl2Mo2 at its relaxed geometry. Source: the Alexandria database, functional PBE.

extended XYZ file:
```
10
Lattice="6.074 0.000 0.000 0.000 6.074 0.000 0.000 0.000 4.154" Properties=species:S:1:pos:R:3 pbc="T T T"
Be 0.000 0.000 0.000
Be 3.037 3.037 0.000
Al 0.955 2.082 2.077
Al 2.082 5.119 2.077
Al 3.992 0.955 2.077
Al 5.119 3.992 2.077
Mo 0.926 3.963 0.000
Mo 2.111 0.926 0.000
Mo 3.963 5.148 0.000
Mo 5.148 2.111 0.000
```

N(E_F) = 0.5506 states/eV/atom
Distance to the lowest polymorph of the same formula = 0.000 eV/atom
Energy relative to the elements = 37 kJ/mol of formula units

***

# 13
Crystalline BeAlMo2 at its relaxed geometry. Source: the Alexandria database, functional PBE.

extended XYZ file:
```
4
Lattice="3.301 0.000 0.000 0.000 4.113 0.000 0.000 0.000 4.159" Properties=species:S:1:pos:R:3 pbc="T T T"
Be 0.000 0.000 0.000
Al 1.650 0.000 2.079
Mo 0.000 2.057 2.079
Mo 1.650 2.057 0.000
```

N(E_F) = 0.6135 states/eV/atom
Distance to the lowest polymorph of the same formula = 0.061 eV/atom
Energy relative to the elements = -2 kJ/mol of formula units

***

# 14
Crystalline BeAlMo2 at its relaxed geometry. Source: the Alexandria database, functional PBE.

extended XYZ file:
```
4
Lattice="2.674 0.000 0.000 0.000 4.058 0.000 -1.165 0.000 5.193" Properties=species:S:1:pos:R:3 pbc="T T T"
Be 0.000 0.000 0.000
Al -0.582 0.000 2.596
Mo 1.004 2.029 1.250
Mo 0.505 2.029 3.943
```

N(E_F) = 0.6595 states/eV/atom
Distance to the lowest polymorph of the same formula = 0.069 eV/atom
Energy relative to the elements = 1 kJ/mol of formula units

***

# 15
Crystalline Be2AlMo2 at its relaxed geometry. Source: the Alexandria database, functional PBE.

extended XYZ file:
```
10
Lattice="6.087 0.000 0.000 0.000 6.087 0.000 0.000 0.000 3.300" Properties=species:S:1:pos:R:3 pbc="T T T"
Be 0.718 2.325 0.000
Be 2.325 5.369 0.000
Be 3.762 0.718 0.000
Be 5.369 3.762 0.000
Al 0.000 0.000 0.000
Al 3.044 3.044 0.000
Mo 1.064 4.108 1.650
Mo 1.979 1.064 1.650
Mo 4.108 5.023 1.650
Mo 5.023 1.979 1.650
```

N(E_F) = 0.9401 states/eV/atom
Energy relative to the elements = -93 kJ/mol of formula units

***

# 16
Crystalline Be2AlMo at its relaxed geometry. Source: the Alexandria database, functional PBE.

extended XYZ file:
```
4
Lattice="-1.806 1.806 3.675 1.806 -1.806 3.675 1.806 1.806 -3.675" Properties=species:S:1:pos:R:3 pbc="T T T"
Be 1.806 0.000 1.837
Be 0.000 1.806 1.837
Al 0.000 0.000 0.000
Mo 0.000 0.000 3.675
```

N(E_F) = 0.8273 states/eV/atom
Energy relative to the elements = 2 kJ/mol of formula units

***

# 17
Crystalline Be2AlMo at its relaxed geometry. Source: the Alexandria database, functional PBE.

extended XYZ file:
```
4
Lattice="2.784 0.000 0.000 0.000 2.784 0.000 0.000 0.000 6.205" Properties=species:S:1:pos:R:3 pbc="T T T"
Be 0.000 0.000 0.000
Be 1.392 1.392 0.988
Al 1.392 1.392 4.539
Mo 0.000 0.000 2.593
```

N(E_F) = 0.6827 states/eV/atom
Energy relative to the elements = 42 kJ/mol of formula units

***

# 18
Crystalline BeAlMo2 at its relaxed geometry. Source: the Alexandria database, functional PBE.

extended XYZ file:
```
4
Lattice="4.660 -1.335 0.000 4.660 1.335 0.000 -1.150 0.000 4.463" Properties=species:S:1:pos:R:3 pbc="T T T"
Be 0.000 0.000 0.000
Al 6.326 0.000 1.244
Mo 1.500 0.000 3.643
Mo 3.848 0.000 2.193
```

N(E_F) = 0.5065 states/eV/atom
Distance to the lowest polymorph of the same formula = 0.100 eV/atom
Energy relative to the elements = 13 kJ/mol of formula units

***

# 19
Crystalline BeAlMo2 at its relaxed geometry. Source: the Alexandria database, functional PBE.

extended XYZ file:
```
4
Lattice="2.644 -4.004 0.000 2.644 4.004 0.000 0.000 0.000 2.670" Properties=species:S:1:pos:R:3 pbc="T T T"
Be 0.000 0.000 0.000
Al 2.644 0.000 0.000
Mo 1.322 2.002 1.335
Mo 1.322 -2.002 1.335
```

N(E_F) = 0.5932 states/eV/atom
Distance to the lowest polymorph of the same formula = 0.120 eV/atom
Energy relative to the elements = 21 kJ/mol of formula units

***

# 20
Crystalline BeAl2Mo2 at its relaxed geometry. Source: the Alexandria database, functional PBE.

extended XYZ file:
```
10
Lattice="6.376 0.000 0.000 0.000 6.376 0.000 0.000 0.000 3.577" Properties=species:S:1:pos:R:3 pbc="T T T"
Be 0.000 0.000 0.000
Be 3.188 3.188 0.000
Al 0.869 2.319 0.000
Al 2.319 5.507 0.000
Al 4.057 0.869 0.000
Al 5.507 4.057 0.000
Mo 1.074 4.262 1.789
Mo 2.114 1.074 1.789
Mo 4.262 5.302 1.789
Mo 5.302 2.114 1.789
```

N(E_F) = 1.2386 states/eV/atom
Distance to the lowest polymorph of the same formula = 0.060 eV/atom
Energy relative to the elements = 65 kJ/mol of formula units